Entry 1:
This record from the Alexandria database describes a relaxed structure of CuPbBr2. The functional is PBEsol.

a = 3.597 Å, b = 5.061 Å, c = 11.070 Å
α = 90.00°, β = 90.00°, γ = 90.00°
Sites, in units of the cell vectors:
Cu 0.000 0.000 0.000
Cu 0.500 0.500 0.500
Pb 0.000 0.500 0.694
Pb 0.500 0.000 0.194
Br 0.000 0.000 0.560
Br 0.000 0.500 0.353
Br 0.500 0.000 0.853
Br 0.500 0.500 0.060

Output
Formation energy from raw total energies, eV per atom: -0.218
N(E_F), states/eV per cell: 1.8
Crystal system: orthorhombic


Entry 2:
This record from the Alexandria database describes a relaxed structure of Be2InSb. The functional is PBEsol.

a = 2.893 Å, b = 3.410 Å, c = 7.321 Å
α = 90.00°, β = 90.00°, γ = 90.00°
Sites, in units of the cell vectors:
Be 0.000 0.000 0.000
Be 0.500 0.500 0.125
In 0.000 0.000 0.363
Sb 0.500 0.500 0.779

Output
Formation energy from raw total energies, eV per atom: 0.444
N(E_F), states/eV per cell: 1.5
Crystal system: orthorhombic


Entry 3:
This record from the Alexandria database describes a relaxed structure of Mg2SiRh2. The functional is PBEsol.

a = 6.071 Å, b = 6.071 Å, c = 4.294 Å
α = 90.00°, β = 90.00°, γ = 90.00°
Sites, in units of the cell vectors:
Mg 0.165 0.335 0.000
Mg 0.335 0.835 0.000
Mg 0.665 0.165 0.000
Mg 0.835 0.665 0.000
Si 0.000 0.000 0.500
Si 0.500 0.500 0.500
Rh 0.152 0.652 0.500
Rh 0.348 0.152 0.500
Rh 0.652 0.848 0.500
Rh 0.848 0.348 0.500

Output
Formation energy from raw total energies, eV per atom: -0.646
N(E_F), states/eV per cell: 4.6
Crystal system: tetragonal


Entry 4:
This record from the Alexandria database describes a relaxed structure of Te4Ir. The functional is PBEsol.

a = 8.761 Å, b = 8.761 Å, c = 3.526 Å
α = 90.00°, β = 90.00°, γ = 90.00°
Sites, in units of the cell vectors:
Te 0.095 0.227 0.000
Te 0.227 0.905 0.000
Te 0.273 0.595 0.500
Te 0.405 0.273 0.500
Te 0.595 0.727 0.500
Te 0.727 0.405 0.500
Te 0.773 0.095 0.000
Te 0.905 0.773 0.000
Ir 0.000 0.000 0.500
Ir 0.500 0.500 0.000

Output
Formation energy from raw total energies, eV per atom: 0.134
N(E_F), states/eV per cell: 5.3
Crystal system: tetragonal


Entry 5:
This record from the Alexandria database describes a relaxed structure of ZnReTe2I. The functional is PBEsol.

a = 5.098 Å, b = 5.098 Å, c = 5.733 Å
α = 90.00°, β = 90.00°, γ = 90.00°
Sites, in units of the cell vectors:
Zn 0.000 0.000 0.000
Re 0.500 0.500 0.500
Te 0.000 0.500 0.500
Te 0.500 0.000 0.500
I 0.500 0.500 0.000

Output
Formation energy from raw total energies, eV per atom: 0.723
N(E_F), states/eV per cell: 5.0
Crystal system: tetragonal


Entry 6:
This record from the Alexandria database describes a relaxed structure of ZnAgOs2. The functional is PBEsol.

a = 2.688 Å, b = 4.141 Å, c = 5.289 Å
α = 90.00°, β = 90.00°, γ = 90.00°
Sites, in units of the cell vectors:
Zn 0.000 0.000 0.000
Ag 0.000 0.000 0.500
Os 0.500 0.500 0.226
Os 0.500 0.500 0.774

Output
Energy of formation from the pure elements, meV per atom: 667
N(E_F), states/eV per cell: 3.8
Crystal system: orthorhombic


Entry 7:
This record from the Alexandria database describes a relaxed structure of Ca2ZrRu. The functional is PBEsol.

a = 3.161 Å, b = 4.899 Å, c = 5.603 Å
α = 90.00°, β = 90.00°, γ = 90.00°
Sites, in units of the cell vectors:
Ca 0.000 0.000 0.235
Ca 0.000 0.000 0.765
Zr 0.500 0.500 0.500
Ru 0.500 0.500 0.000

Output
Energy of formation from the pure elements, meV per atom: 485
N(E_F), states/eV per cell: 4.6
Crystal system: orthorhombic


Entry 8:
This record from the Alexandria database describes a relaxed structure of GaCo2SiSb. The functional is PBEsol.

a = 4.227 Å, b = 4.227 Å, c = 5.196 Å
α = 90.00°, β = 90.00°, γ = 90.00°
Sites, in units of the cell vectors:
Ga 0.000 0.000 0.000
Co 0.000 0.500 0.500
Co 0.500 0.000 0.500
Si 0.500 0.500 0.500
Sb 0.500 0.500 0.000

Output
Formation energy from raw total energies, eV per atom: 0.773
N(E_F), states/eV per cell: 7.4
Crystal system: tetragonal


Entry 9:
This record from the Alexandria database describes a relaxed structure of Cd2HgPb. The functional is PBEsol.

a = 3.445 Å, b = 5.385 Å, c = 10.370 Å
α = 90.00°, β = 90.00°, γ = 90.00°
Sites, in units of the cell vectors:
Cd 0.000 0.000 0.000
Cd 0.000 0.500 0.264
Cd 0.500 0.000 0.764
Cd 0.500 0.500 0.500
Hg 0.000 0.500 0.737
Hg 0.500 0.000 0.237
Pb 0.000 0.000 0.501
Pb 0.500 0.500 0.001

Output
Energy of formation from the pure elements, meV per atom: 56
N(E_F), states/eV per cell: 3.2
Crystal system: orthorhombic


Entry 10:
This record from the Alexandria database describes a relaxed structure of Be3CdGa. The functional is PBEsol.

a = 4.258 Å, b = 4.258 Å, c = 4.258 Å
α = 90.00°, β = 90.00°, γ = 90.00°
Sites, in units of the cell vectors:
Be 0.000 0.000 0.500
Be 0.000 0.500 0.000
Be 0.500 0.000 0.000
Cd 0.500 0.500 0.500
Ga 0.000 0.000 0.000

Output
Energy of formation from the pure elements, meV per atom: 797
N(E_F), states/eV per cell: 1.6
Crystal system: cubic


Entry 11:
This record from the Alexandria database describes a relaxed structure of LiInAs2. The functional is PBEsol.

a = 11.106 Å, b = 3.558 Å, c = 4.359 Å
α = 90.00°, β = 108.95°, γ = 90.00°
Sites, in units of the cell vectors:
Li 0.000 0.000 0.000
Li 0.500 0.500 0.000
In 0.285 0.500 0.347
In 0.785 0.000 0.347
As 0.022 0.500 0.508
As 0.196 0.000 0.771
As 0.522 0.000 0.508
As 0.696 0.500 0.771

Output
Energy of formation from the pure elements, meV per atom: -170
N(E_F), states/eV per cell: 2.8
Crystal system: monoclinic


Entry 12:
This record from the Alexandria database describes a relaxed structure of Mg2AlAg. The functional is PBEsol.

a = 10.581 Å, b = 2.995 Å, c = 5.101 Å
α = 90.00°, β = 113.38°, γ = 90.00°
Sites, in units of the cell vectors:
Mg 0.000 0.000 0.000
Mg 0.221 0.000 0.619
Mg 0.500 0.500 0.000
Mg 0.721 0.500 0.619
Al 0.258 0.500 0.142
Al 0.758 0.000 0.142
Ag 0.473 0.000 0.495
Ag 0.973 0.500 0.495

Output
Energy of formation from the pure elements, meV per atom: -87
N(E_F), states/eV per cell: 2.3
Crystal system: monoclinic


Entry 13:
This record from the Alexandria database describes a relaxed structure of AsPN3. The functional is PBEsol.

a = 3.520 Å, b = 3.520 Å, c = 3.520 Å
α = 90.00°, β = 90.00°, γ = 90.00°
Sites, in units of the cell vectors:
As 0.000 0.000 0.000
P 0.500 0.500 0.500
N 0.000 0.500 0.500
N 0.500 0.000 0.500
N 0.500 0.500 0.000

Output
Formation energy from raw total energies, eV per atom: 0.756
N(E_F), states/eV per cell: 0.6
Crystal system: cubic


Entry 14:
This record from the Alexandria database describes a relaxed structure of Fe2PtRh. The functional is PBEsol.

a = 2.655 Å, b = 3.947 Å, c = 5.079 Å
α = 90.00°, β = 105.16°, γ = 90.00°
Sites, in units of the cell vectors:
Fe 0.000 0.000 0.000
Fe 0.143 0.500 0.267
Pt 0.745 0.000 0.478
Rh 0.402 0.500 0.798

Output
Energy of formation from the pure elements, meV per atom: 3
N(E_F), states/eV per cell: 6.2
Crystal system: monoclinic